A plane-wave DFT calculation with SCAN was carried out for a crystal of BeHg2Se relaxed with PBEsol.

Summary:
- offset from the most stable computed form (meV per atom) = 0
- size of the total moment (μB/f.u.) = 0.000
- energy relative to the elements, uncorrected (eV per atom) = 0.21
- E (Ry/atom) = -2.93827

Cell lengths 3.8716, 3.8716, 17.9750 Å; angles 90.00, 90.00, 120.00 degrees
Space group R-3m (No. 166, hexagonal axes)
One atom of each set of equivalent atoms:
Be (0.0000, 0.0000, 0.0000) (multiplicity 3)
Hg (0.0000, 0.0000, 0.2642) (multiplicity 6)
Se (0.0000, 0.0000, 0.5000) (multiplicity 3)